The following is a PBE-GGA calculation of KNbNi after structural relaxation, from Alexandria via LeMat-Bulk.

Unit cell a=5.525 b=18.082 c=2.889 alpha=90.00 beta=104.78 gamma=90.00
Positions (direct):
Ni: 0.750 0.400 0.750
Ni: 0.250 0.600 0.250
Ni: 0.750 0.900 0.250
Ni: 0.250 0.100 0.750
K: 0.750 0.679 0.750
K: 0.250 0.321 0.250
K: 0.750 0.179 0.250
K: 0.250 0.821 0.750
Nb: 0.000 0.000 0.000
Nb: 0.500 0.000 0.500
Nb: 0.000 0.500 0.500
Nb: 0.500 0.500 0.000

Summary:
For the total magnetization, the calculation gives 0.00 μB/atom. The space-group type is C2/c.

***

The following is a PBE-GGA calculation of K2NbNi after structural relaxation, from Alexandria via LeMat-Bulk.

Unit cell a=12.194 b=12.194 c=8.934 alpha=46.96 beta=46.96 gamma=90.00
Each line ends with the local moment (μB).
Positions (direct):
Ni: 0.500 0.500 0.000  -0.03
Ni: 0.250 0.750 0.500  -0.03
Nb: 0.000 0.000 0.000  2.12
Nb: 0.750 0.250 0.500  2.12
K: 0.461 0.125 0.250  0.02
K: 0.289 0.625 0.250  0.02
K: 0.375 0.539 0.750  0.02
K: 0.875 0.711 0.750  0.02

Summary:
For the total magnetization, the calculation gives 0.83 μB/atom. The space-group type is I-42d.

***

The following is a PBE-GGA calculation of KNbNi3 after structural relaxation, from Alexandria via LeMat-Bulk.

Unit cell a=4.430 b=4.430 c=4.430 alpha=90.00 beta=90.00 gamma=90.00
Each line ends with the local moment (μB).
Positions (direct):
Ni: 0.000 0.500 0.000  0.16
Ni: 0.000 0.000 0.500  0.20
Ni: 0.500 0.000 0.000  0.11
Nb: 0.500 0.500 0.500  1.30
K: 0.000 0.000 0.000  0.01

Summary:
For the total magnetization, the calculation gives 0.44 μB/atom. The space-group type is Pm-3m.

***

The following is a PBE-GGA calculation of KNbNi2 after structural relaxation, from Alexandria via LeMat-Bulk.

Unit cell a=4.605 b=4.605 c=4.605 alpha=60.00 beta=60.00 gamma=60.00
Positions (direct):
Ni: 0.250 0.250 0.250
Ni: 0.750 0.750 0.750
Nb: 0.500 0.500 0.500
K: 0.000 0.000 0.000

Summary:
For the total magnetization, the calculation gives 0.00 μB/atom. The space-group type is Fm-3m.

***

The following is a PBE-GGA calculation of KNbNi after structural relaxation, from Alexandria via LeMat-Bulk.

Unit cell a=3.427 b=3.753 c=12.762 alpha=90.00 beta=97.16 gamma=90.00
Positions (direct):
K: 0.679 0.250 0.333
K: 0.321 0.750 0.667
Nb: 0.938 0.250 0.903
Nb: 0.062 0.750 0.097
Ni: 0.563 0.250 0.065
Ni: 0.437 0.750 0.935

Summary:
For the total magnetization, the calculation gives 0.00 μB/atom. The space-group type is P2_1/m.

***

no.,energy of formation from the pure elements (eV per atom)
1,0.5225
2,1.1676
3,2.0977
4,0.9827
5,0.3302